Computed, not measured: a relaxed structure of Y5Co3 at the PBE level of DFT.

Unit cell a=8.0906 b=8.0899 c=6.3056 alpha=90.00 beta=90.00 gamma=120.00
Closest atoms and distances in Å follow each position.
Fractional coordinates of all 16 atoms:
Y  0.3333  0.6666  0.5000  6 Co 2.95, 2 Y 3.15
Y  0.3333  0.6666  0.0000  6 Co 2.95, 2 Y 3.15
Co  0.6074  0.0000  0.7500  7 Y 2.79-2.95
Co  0.3926  0.0000  0.2500  7 Y 2.79-2.95
Y  0.2568  0.0000  0.7500  3 Co 2.79-2.84
Y  0.7432  0.0000  0.2500  3 Co 2.79-2.84
Y  0.0000  0.2568  0.7500  3 Co 2.79-2.84
Y  0.2568  0.2568  0.2500  3 Co 2.79-2.84
Co  0.0000  0.6074  0.7500  7 Y 2.79-2.95
Co  0.6074  0.6074  0.2500  7 Y 2.79-2.95
Co  0.0000  0.3926  0.2500  7 Y 2.79-2.95
Y  0.0000  0.7432  0.2500  3 Co 2.79-2.84
Y  0.7432  0.7432  0.7500  3 Co 2.79-2.84
Y  0.6667  0.3334  0.0000  6 Co 2.95, 2 Y 3.15
Y  0.6667  0.3334  0.5000  6 Co 2.95, 2 Y 3.15
Co  0.3926  0.3926  0.7500  7 Y 2.79-2.95

Results
Total moment (Bohr magnetons per cell): 0.000
E_form (eV per atom): -0.105
E (eV per atom): -6.809
D(E_F) (states/eV/atom): 0.880
Space group: P6_3/mcm, No. 193
Relative energy among the computed polymorphs (eV per atom): 0.0420

=====

Computed, not measured: a relaxed structure of YCo at the PBE level of DFT.

Unit cell a=7.2999 b=7.2999 c=7.2999 alpha=90.00 beta=90.00 gamma=90.00
Closest atoms and distances in Å follow each position.
Fractional coordinates of all 12 atoms:
Co  0.5000  0.0000  0.2500  4 Y 2.58
Co  0.0000  0.7500  0.5000  4 Y 2.58
Co  0.2500  0.5000  0.0000  4 Y 2.58
Y  0.0000  0.5000  0.7500  4 Co 2.58
Y  0.5000  0.7500  0.0000  4 Co 2.58
Co  0.5000  0.0000  0.7500  4 Y 2.58
Y  0.5000  0.2500  0.0000  4 Co 2.58
Co  0.7500  0.5000  0.0000  4 Y 2.58
Co  0.0000  0.2500  0.5000  4 Y 2.58
Y  0.7500  0.0000  0.5000  4 Co 2.58
Y  0.2500  0.0000  0.5000  4 Co 2.58
Y  0.0000  0.5000  0.2500  4 Co 2.58

Results
Total moment (Bohr magnetons per cell): 0.385
E_form (eV per atom): 1.093
E (eV per atom): -5.692
D(E_F) (states/eV/atom): 1.212
Space group: Pm-3n, No. 223